(1)
DFT (PBE) results for a relaxed CdFe2Sb crystal.

Values from the calculation:
- excess energy over the best structure of this formula in the dataset (meV per atom) = 83

```
CdFe2Sb
1.0
-1.068 1.523 3.626
2.914 -1.061 1.304
3.593 3.861 -0.563
Sb Cd Fe
1 1 2
direct
0.000 0.476 0.425
0.500 0.776 0.821
0.500 0.060 0.257
0.000 0.188 0.997
```

(2)
DFT (PBE) results for a relaxed CdFeSb2 crystal.

```
CdFeSb2
1.0
-3.445 2.823 -2.165
2.250 -2.211 -3.818
-2.430 -2.813 0.197
Cd Sb Fe
1 2 1
direct
0.500 0.000 0.500
0.000 0.000 0.000
0.500 0.500 0.000
0.000 0.500 0.500
```

no.,final energy (eV/atom)
1,-5.202
2,-3.956